Record 1
The following is a DFT calculation (PBE) of an optimized crystal structure of Rb2FeCo.

Cell and atoms, written as POSCAR:
```
Rb2FeCo
1.0
0.000 4.212 4.212
4.212 0.000 4.212
4.212 4.212 0.000
Rb Fe Co
2 1 1
direct
0.250 0.250 0.250 Rb
0.750 0.750 0.750 Rb
0.000 0.000 0.000 Fe
0.500 0.500 0.500 Co
```

D(E_F) = 1.79 states/eV/f.u.
total magnetization = 1.273 μB per atom
total DFT energy (no corrections) = -2.87 eV/atom
DFT formation energy = 1.50 eV/atom

Record 2
The following is a DFT calculation (PBE) of an optimized crystal structure of RbFeCo2.

Cell and atoms, written as POSCAR:
```
RbFeCo2
1.0
-2.436 2.436 8.054
2.436 -2.436 8.054
2.436 2.436 -8.054
Rb Fe Co
2 2 4
direct
0.375 0.625 0.750 Rb
0.625 0.375 0.250 Rb
0.125 0.875 0.250 Fe
0.875 0.125 0.750 Fe
0.000 0.000 0.000 Co
0.000 0.000 0.500 Co
0.000 0.500 0.000 Co
0.500 0.000 0.500 Co
```

D(E_F) = 5.85 states/eV/f.u.
relative energy among the computed polymorphs = 0.000 eV/atom
total magnetization = 1.607 μB per atom
total DFT energy (no corrections) = -4.78 eV/atom
DFT formation energy = 1.13 eV/atom

Record 3
The following is a DFT calculation (PBE) of an optimized crystal structure of RbFe2Co.

Cell and atoms, written as POSCAR:
```
RbFe2Co
1.0
0.000 3.111 3.111
3.111 0.000 3.111
3.111 3.111 0.000
Rb Fe Co
1 2 1
direct
0.000 0.000 0.000 Rb
0.250 0.250 0.250 Fe
0.750 0.750 0.750 Fe
0.500 0.500 0.500 Co
```

D(E_F) = 15.44 states/eV/f.u.
relative energy among the computed polymorphs = 0.892 eV/atom
total magnetization = 0.185 μB per atom
total DFT energy (no corrections) = -4.20 eV/atom
DFT formation energy = 2.05 eV/atom